# 1
Computed, not measured: crystalline Tb2TiPd at its relaxed geometry at the PBE-GGA level of DFT.

calculated density = 8.51 Mg/m³
space group = P4/mmm, No. 123
crystal system = tetragonal
energy relative to the elements = -0.2791 eV per atom

abc: 3.525 3.525 7.411
angles: 90.00 90.00 90.00
Element x y z (fractional)
Tb1 0.000 0.000 0.232
Tb2 0.000 0.000 0.768
Ti1 0.500 0.500 0.500
Pd1 0.500 0.500 0.000



# 2
Computed, not measured: crystalline TbTi2Pd8 at its relaxed geometry at the PBE-GGA level of DFT.

calculated density = 10.19 Mg/m³
space group = C2/m, No. 12
crystal system = monoclinic
energy relative to the elements = -0.6475 eV per atom

abc: 7.454 7.454 6.570
angles: 107.43 107.43 31.29
Element x y z (fractional)
Tb1 0.000 0.000 0.000
Ti1 0.278 0.278 0.334
Ti2 0.722 0.722 0.666
Pd1 0.106 0.106 0.468
Pd2 0.183 0.183 0.916
Pd3 0.349 0.349 0.786
Pd4 0.456 0.456 0.283
Pd5 0.544 0.544 0.717
Pd6 0.651 0.651 0.214
Pd7 0.817 0.817 0.084
Pd8 0.894 0.894 0.532



# 3
Computed, not measured: crystalline TbTiPd at its relaxed geometry at the PBE-GGA level of DFT.

calculated density = 8.48 Mg/m³
space group = P4/mmm, No. 123
crystal system = tetragonal
energy relative to the elements = -0.3216 eV per atom

abc: 3.373 3.373 10.788
angles: 90.00 90.00 90.00
Element x y z (fractional)
Tb1 0.000 0.000 0.169
Tb2 0.000 0.000 0.831
Ti1 0.500 0.500 0.368
Ti2 0.500 0.500 0.632
Pd1 0.000 0.000 0.500
Pd2 0.500 0.500 0.000



# 4
Computed, not measured: crystalline TbTiPd6 at its relaxed geometry at the PBE-GGA level of DFT.

calculated density = 10.73 Mg/m³
space group = P4/mmm, No. 123
crystal system = tetragonal
energy relative to the elements = -0.7581 eV per atom

abc: 4.034 4.034 8.038
angles: 90.00 90.00 90.00
Element x y z (fractional)
Tb1 0.000 0.000 0.000
Ti1 0.000 0.000 0.500
Pd1 0.000 0.500 0.267
Pd2 0.000 0.500 0.733
Pd3 0.500 0.000 0.267
Pd4 0.500 0.000 0.733
Pd5 0.500 0.500 0.000
Pd6 0.500 0.500 0.500



# 5
Computed, not measured: crystalline TbTiPd5 at its relaxed geometry at the PBE-GGA level of DFT.

calculated density = 9.86 Mg/m³
space group = P4/mmm, No. 123
crystal system = tetragonal
energy relative to the elements = -0.6084 eV per atom

abc: 4.121 4.121 7.328
angles: 90.00 90.00 90.00
Element x y z (fractional)
Tb1 0.000 0.000 0.000
Ti1 0.500 0.500 0.500
Pd1 0.000 0.500 0.292
Pd2 0.000 0.500 0.708
Pd3 0.500 0.000 0.292
Pd4 0.500 0.000 0.708
Pd5 0.500 0.500 0.000



# 6
Computed, not measured: crystalline Tb2TiZn2Pd5 at its relaxed geometry at the PBE-GGA level of DFT.

calculated density = 9.60 Mg/m³
space group = P4/mbm, No. 127
crystal system = tetragonal
energy relative to the elements = -0.6793 eV per atom

abc: 9.767 9.767 3.731
angles: 90.00 90.00 90.00
Element x y z (fractional)
Tb1 0.175 0.325 0.000
Tb2 0.325 0.825 0.000
Tb3 0.675 0.175 0.000
Tb4 0.825 0.675 0.000
Ti1 0.000 0.000 0.000
Ti2 0.500 0.500 0.000
Zn1 0.123 0.623 0.000
Zn2 0.377 0.123 0.000
Zn3 0.623 0.877 0.000
Zn4 0.877 0.377 0.000
Pd1 0.000 0.500 0.500
Pd2 0.062 0.800 0.500
Pd3 0.200 0.062 0.500
Pd4 0.300 0.562 0.500
Pd5 0.438 0.300 0.500
Pd6 0.500 0.000 0.500
Pd7 0.562 0.700 0.500
Pd8 0.700 0.438 0.500
Pd9 0.800 0.938 0.500
Pd10 0.938 0.200 0.500